DFT (PBE) results for a geometry-optimized Pr2ZrS5 structure.

## Properties
SG: No. 62
total energy: -6.74 eV per atom
ΔE_f (raw): -1893 meV/atom
spin magnetization: 0.00 μB per formula unit
energy above the most stable polymorph in this dataset: 0 meV/atom

Structure (POSCAR):
```
Pr2ZrS5
1.0
11.711 0.000 0.000
0.000 8.076 0.000
0.000 0.000 7.435
Pr Zr S
8 4 20
Direct
0.176 0.001 0.037
0.176 0.499 0.037
0.324 0.501 0.537
0.324 0.999 0.537
0.676 0.001 0.463
0.676 0.499 0.463
0.824 0.501 0.963
0.824 0.999 0.963
0.009 0.750 0.576
0.491 0.250 0.076
0.509 0.750 0.924
0.991 0.250 0.424
0.004 0.750 0.943
0.084 0.036 0.666
0.084 0.464 0.666
0.185 0.750 0.344
0.206 0.250 0.323
0.294 0.750 0.823
0.315 0.250 0.844
0.416 0.536 0.166
0.416 0.964 0.166
0.496 0.250 0.443
0.504 0.750 0.557
0.584 0.036 0.834
0.584 0.464 0.834
0.685 0.750 0.156
0.706 0.250 0.177
0.794 0.750 0.677
0.815 0.250 0.656
0.916 0.536 0.334
0.916 0.964 0.334
0.996 0.250 0.057
```

***

DFT (PBE) results for a geometry-optimized Pr2Pu5Os3 structure.

## Properties
SG: No. 36
total energy: -11.48 eV per atom
DFT formation energy: 0.009 eV/atom
spin magnetization: 26.79 μB per formula unit

Structure (POSCAR):
```
Pr2Pu5Os3
1.0
2.410 -13.999 0.000
2.410 13.999 0.000
0.000 0.000 7.121
Pr Pu Os
4 10 6
Direct
0.020 0.980 0.500
0.326 0.674 0.479
0.674 0.326 0.979
0.980 0.020 0.000
0.100 0.900 0.145
0.205 0.795 0.715
0.207 0.793 0.283
0.376 0.624 0.994
0.447 0.553 0.336
0.553 0.447 0.836
0.624 0.376 0.494
0.793 0.207 0.783
0.795 0.205 0.215
0.900 0.100 0.645
0.107 0.893 0.757
0.276 0.724 0.002
0.451 0.549 0.720
0.549 0.451 0.220
0.724 0.276 0.502
0.893 0.107 0.257
```

***

DFT (PBE) results for a geometry-optimized InRuCl2 structure.

## Properties
SG: No. 160
total energy: -4.16 eV per atom
ΔE_f (raw): -231 meV/atom
spin magnetization: 0.99 μB per formula unit
energy above the most stable polymorph in this dataset: 9 meV/atom

Structure (POSCAR):
```
InRuCl2
1.0
3.447 0.000 0.000
-1.723 2.985 0.000
0.000 0.000 26.283
In Ru Cl
3 3 6
Direct
0.000 0.000 0.000
0.333 0.667 0.667
0.667 0.333 0.333
0.000 0.000 0.740
0.333 0.667 0.407
0.667 0.333 0.074
0.000 0.000 0.263
0.000 0.000 0.462
0.333 0.667 0.128
0.333 0.667 0.930
0.667 0.333 0.596
0.667 0.333 0.795
```

***

DFT (PBE) results for a geometry-optimized RbAs2Cl structure.

## Properties
SG: No. 122
total energy: -3.53 eV per atom
ΔE_f (raw): -497 meV/atom
spin magnetization: 0.00 μB per formula unit
energy above the most stable polymorph in this dataset: 0 meV/atom

Structure (POSCAR):
```
RbAs2Cl
1.0
4.211 0.000 0.000
0.000 4.211 0.000
0.000 0.000 35.098
Rb As Cl
4 8 4
Direct
0.000 0.000 0.000
0.000 0.500 0.250
0.500 0.000 0.750
0.500 0.500 0.500
0.162 0.750 0.625
0.250 0.162 0.375
0.250 0.338 0.875
0.338 0.750 0.125
0.662 0.250 0.125
0.750 0.662 0.875
0.750 0.838 0.375
0.838 0.250 0.625
0.000 0.000 0.500
0.000 0.500 0.750
0.500 0.000 0.250
0.500 0.500 0.000
```

***

DFT (PBE) results for a geometry-optimized VCrHIr2 structure.

## Properties
SG: No. 123
total energy: -8.16 eV per atom
spin magnetization: 1.27 μB per formula unit
energy above the most stable polymorph in this dataset: 0 meV/atom

Structure (POSCAR):
```
VCrHIr2
1.0
3.875 0.000 0.000
0.000 3.875 0.000
0.000 0.000 3.815
V Cr H Ir
1 1 1 2
Direct
0.000 0.000 0.000
0.500 0.500 0.000
0.500 0.500 0.500
0.000 0.500 0.500
0.500 0.000 0.500
```

***

DFT (PBE) results for a geometry-optimized PdPt3 structure.

## Properties
SG: No. 44
total energy: -5.81 eV per atom
DFT formation energy: 0.016 eV/atom
spin magnetization: 0.00 μB per formula unit

Structure (POSCAR):
```
PdPt3
1.0
2.752 0.000 0.000
0.000 9.449 0.000
0.000 0.000 4.811
Pd Pt
2 6
Direct
0.000 0.000 0.000
0.500 0.500 0.500
0.000 0.249 0.677
0.000 0.500 0.998
0.000 0.751 0.677
0.500 0.000 0.498
0.500 0.251 0.177
0.500 0.749 0.177
```